*A*
Below is an optimized crystal structure of AlCd2H, with properties calculated at the PBE level.

Symmetry: I-42d

Cell lengths 6.9782, 6.9782, 6.9782 Å; angles 135.84, 135.84, 64.23 degrees
Last column: nearest neighbours and their distance in Å.
Element x y z (fractional)
Al: 0.0000 0.0000 0.0000  4 Cd 2.74
Al: 0.7500 0.2500 0.5000  4 Cd 2.74
Cd: 0.2378 0.6250 0.1128  2 H 2.10
Cd: 0.3750 0.4878 0.6128  2 H 2.10
Cd: 0.5122 0.1250 0.8872  2 H 2.10
Cd: 0.8750 0.7622 0.3872  2 H 2.10
H: 0.2500 0.7500 0.5000  4 Cd 2.10
H: 0.5000 0.5000 0.0000  4 Cd 2.10

*B*
Below is an optimized crystal structure of AlCd2H, with properties calculated at the PBE level.

Symmetry: Fm-3m

Cell lengths 4.6772, 4.6772, 4.6772 Å; angles 60.00, 60.00, 60.00 degrees
Last column: nearest neighbours and their distance in Å.
Element x y z (fractional)
Al: 0.0000 0.0000 0.0000  8 Cd 2.86
Cd: 0.2500 0.2500 0.2500  4 H 2.86, 4 Al 2.86
Cd: 0.7500 0.7500 0.7500  4 Al 2.86, 4 H 2.86
H: 0.5000 0.5000 0.5000  8 Cd 2.86

Short version: *A*, *B*, most stable first.

*A*
Below is an optimized crystal structure of Li2AlCdH, with properties calculated at the PBE level.

Symmetry: P4/mmm

Cell lengths 4.1055, 4.1055, 4.3293 Å; angles 90.00, 90.00, 90.00 degrees
Last column: nearest neighbours and their distance in Å.
Element x y z (fractional)
Li: 0.0000 0.5000 0.0000  2 H 2.05
Li: 0.5000 0.0000 0.0000  2 H 2.05
Al: 0.0000 0.0000 0.5000  4 Cd 2.90, 8 Li 2.98
Cd: 0.5000 0.5000 0.5000  2 H 2.16
H: 0.5000 0.5000 0.0000  4 Li 2.05, 2 Cd 2.16

*B*
Below is an optimized crystal structure of Li2AlCdH, with properties calculated at the PBE level.

Symmetry: P4/mmm

Cell lengths 4.1520, 4.1520, 4.0654 Å; angles 90.00, 90.00, 90.00 degrees
Last column: nearest neighbours and their distance in Å.
Element x y z (fractional)
Li: 0.0000 0.5000 0.0000  2 H 2.08
Li: 0.5000 0.0000 0.0000  2 H 2.08
Al: 0.0000 0.0000 0.5000  2 H 2.03
Cd: 0.5000 0.5000 0.5000  8 Li 2.91, 4 Al 2.94
H: 0.0000 0.0000 0.0000  2 Al 2.03, 4 Li 2.08

Short version: *B*, *A*, most stable first.

*A*
Below is an optimized crystal structure of AlCdSb2H, with properties calculated at the PBE level.

Symmetry: P4/mmm

Cell lengths 5.2791, 5.2791, 5.3828 Å; angles 90.00, 90.00, 90.00 degrees
Last column: nearest neighbours and their distance in Å.
Element x y z (fractional)
Al: 0.0000 0.0000 0.0000  4 Sb 2.64, 2 Cd 2.69
Cd: 0.0000 0.0000 0.5000  2 Al 2.69
Sb: 0.0000 0.5000 0.0000  2 Al 2.64
Sb: 0.5000 0.0000 0.0000  2 Al 2.64
H: 0.5000 0.5000 0.5000  4 Cd 3.73, 8 Sb 3.77

*B*
Below is an optimized crystal structure of AlCdSb2H, with properties calculated at the PBE level.

Symmetry: P4/mmm

Cell lengths 5.6160, 5.6160, 3.3485 Å; angles 90.00, 90.00, 90.00 degrees
Last column: nearest neighbours and their distance in Å.
Element x y z (fractional)
Al: 0.0000 0.0000 0.0000  2 H 1.67
Cd: 0.5000 0.5000 0.5000  8 Sb 3.27, 2 Cd 3.35
Sb: 0.0000 0.5000 0.0000  2 Al 2.81
Sb: 0.5000 0.0000 0.0000  2 Al 2.81
H: 0.0000 0.0000 0.5000  2 Al 1.67

Short version: *B*, *A*, most stable first.

*A*
Below is an optimized crystal structure of Sr2AlCdH, with properties calculated at the PBE level.

Symmetry: P4/mmm

Cell lengths 5.2415, 5.2415, 4.5351 Å; angles 90.00, 90.00, 90.00 degrees
Last column: nearest neighbours and their distance in Å.
Element x y z (fractional)
Sr: 0.0000 0.5000 0.0000  2 H 2.62
Sr: 0.5000 0.0000 0.0000  2 H 2.62
Al: 0.0000 0.0000 0.5000  8 Sr 3.47, 4 Cd 3.71
Cd: 0.5000 0.5000 0.5000  2 H 2.27
H: 0.5000 0.5000 0.0000  2 Cd 2.27

*B*
Below is an optimized crystal structure of Sr2AlCdH, with properties calculated at the PBE level.

Symmetry: P4/mmm

Cell lengths 5.5555, 5.5555, 4.0804 Å; angles 90.00, 90.00, 90.00 degrees
Last column: nearest neighbours and their distance in Å.
Element x y z (fractional)
Sr: 0.0000 0.5000 0.0000  2 H 2.78
Sr: 0.5000 0.0000 0.0000  2 H 2.78
Al: 0.0000 0.0000 0.5000  2 H 2.04
Cd: 0.5000 0.5000 0.5000  8 Sr 3.45
H: 0.0000 0.0000 0.0000  2 Al 2.04

Short version: *B*, *A*, most stable first.

*A*
Below is an optimized crystal structure of AlVCdH2, with properties calculated at the PBE level.

Symmetry: P4/mmm

Cell lengths 3.6831, 3.6831, 6.0323 Å; angles 90.00, 90.00, 90.00 degrees
Last column: nearest neighbours and their distance in Å.
Element x y z (fractional)
Al: 0.0000 0.0000 0.0000  4 V 2.60
V: 0.5000 0.5000 0.0000  4 Al 2.60
Cd: 0.0000 0.0000 0.5000  4 H 1.84
H: 0.0000 0.5000 0.5000  2 Cd 1.84
H: 0.5000 0.0000 0.5000  2 Cd 1.84

*B*
Below is an optimized crystal structure of AlVCdH2, with properties calculated at the PBE level.

Symmetry: P4/mmm

Cell lengths 3.7535, 3.7535, 5.6553 Å; angles 90.00, 90.00, 90.00 degrees
Last column: nearest neighbours and their distance in Å.
Element x y z (fractional)
Al: 0.0000 0.0000 0.0000  4 H 1.88
V: 0.5000 0.5000 0.5000  4 Cd 2.65
Cd: 0.0000 0.0000 0.5000  4 V 2.65, 2 Al 2.83
H: 0.0000 0.5000 0.0000  2 Al 1.88
H: 0.5000 0.0000 0.0000  2 Al 1.88

Short version: *B*, *A*, most stable first.

*A*
Below is an optimized crystal structure of HfAl2Cd2, with properties calculated at the PBE level.

Symmetry: P4/mbm

Cell lengths 7.8221, 7.8221, 3.2301 Å; angles 90.00, 90.00, 90.00 degrees
Last column: nearest neighbours and their distance in Å.
Element x y z (fractional)
Hf: 0.0000 0.0000 0.0000  4 Al 3.07, 2 Hf 3.23, 8 Cd 3.32
Hf: 0.5000 0.5000 0.0000  4 Al 3.07, 2 Hf 3.23, 8 Cd 3.32
Al: 0.1292 0.3708 0.0000  6 Cd 2.75-2.86, 1 Al 2.86, 2 Hf 3.07
Al: 0.3708 0.8708 0.0000  6 Cd 2.75-2.86, 1 Al 2.86, 2 Hf 3.07
Al: 0.6292 0.1292 0.0000  6 Cd 2.75-2.86, 1 Al 2.86, 2 Hf 3.07
Al: 0.8708 0.6292 0.0000  6 Cd 2.75-2.86, 1 Al 2.86, 2 Hf 3.07
Cd: 0.1692 0.6692 0.5000  6 Al 2.75-2.86
Cd: 0.3308 0.1692 0.5000  6 Al 2.75-2.86
Cd: 0.6692 0.8308 0.5000  6 Al 2.75-2.86
Cd: 0.8308 0.3308 0.5000  6 Al 2.75-2.86

*B*
Below is an optimized crystal structure of HfAl2Cd2, with properties calculated at the PBE level.

Symmetry: P4/mbm

Cell lengths 7.9963, 7.9963, 3.1120 Å; angles 90.00, 90.00, 90.00 degrees
Last column: nearest neighbours and their distance in Å.
Element x y z (fractional)
Hf: 0.0000 0.0000 0.0000  2 Hf 3.11, 4 Cd 3.16, 8 Al 3.33
Hf: 0.5000 0.5000 0.0000  2 Hf 3.11, 4 Cd 3.16, 8 Al 3.33
Al: 0.1771 0.3229 0.5000  6 Cd 2.72-2.91
Al: 0.3229 0.8229 0.5000  6 Cd 2.72-2.91
Al: 0.6771 0.1771 0.5000  6 Cd 2.72-2.91
Al: 0.8229 0.6771 0.5000  6 Cd 2.72-2.91
Cd: 0.1260 0.6260 0.0000  6 Al 2.72-2.91, 1 Cd 2.85
Cd: 0.3740 0.1260 0.0000  6 Al 2.72-2.91, 1 Cd 2.85
Cd: 0.6260 0.8740 0.0000  6 Al 2.72-2.91, 1 Cd 2.85
Cd: 0.8740 0.3740 0.0000  6 Al 2.72-2.91, 1 Cd 2.85

Short version: *A*, *B*, most stable first.

*A*
Below is an optimized crystal structure of HfAl3Cd, with properties calculated at the PBE level.

Symmetry: Pm-3m

Cell lengths 4.9098, 4.9098, 4.9098 Å; angles 90.00, 90.00, 90.00 degrees
Last column: nearest neighbours and their distance in Å.
Element x y z (fractional)
Hf: 0.0000 0.0000 0.0000  12 Al 3.47
Al: 0.0000 0.5000 0.5000  2 Cd 2.45
Al: 0.5000 0.0000 0.5000  2 Cd 2.45
Al: 0.5000 0.5000 0.0000  2 Cd 2.45
Cd: 0.5000 0.5000 0.5000  6 Al 2.45

*B*
Below is an optimized crystal structure of HfAl3Cd, with properties calculated at the PBE level.

Symmetry: Pm-3m

Cell lengths 5.2711, 5.2711, 5.2711 Å; angles 90.00, 90.00, 90.00 degrees
Last column: nearest neighbours and their distance in Å.
Element x y z (fractional)
Hf: 0.0000 0.0000 0.0000  6 Al 2.64
Al: 0.0000 0.0000 0.5000  2 Hf 2.64
Al: 0.0000 0.5000 0.0000  2 Hf 2.64
Al: 0.5000 0.0000 0.0000  2 Hf 2.64
Cd: 0.5000 0.5000 0.5000  12 Al 3.73

Short version: *B*, *A*, most stable first.

*A*
Below is an optimized crystal structure of AlCd2Hg, with properties calculated at the PBE level.

Symmetry: Pmmm

Cell lengths 3.6729, 4.8900, 4.9959 Å; angles 90.00, 90.00, 90.00 degrees
Last column: nearest neighbours and their distance in Å.
Element x y z (fractional)
Al: 0.0000 0.0000 0.0000  4 Hg 3.06, 4 Cd 3.10
Cd: 0.0000 0.5000 0.5000  4 Cd 3.06, 4 Hg 3.10
Cd: 0.5000 0.0000 0.5000  4 Cd 3.06, 4 Al 3.10
Hg: 0.5000 0.5000 0.0000  4 Al 3.06, 4 Cd 3.10

*B*
Below is an optimized crystal structure of AlCd2Hg, with properties calculated at the PBE level.

Symmetry: P4/mmm

Cell lengths 3.1363, 3.1363, 8.8542 Å; angles 90.00, 90.00, 90.00 degrees
Last column: nearest neighbours and their distance in Å.
Element x y z (fractional)
Al: 0.0000 0.0000 0.0000  8 Cd 3.03, 4 Al 3.14
Cd: 0.5000 0.5000 0.2329  4 Al 3.03, 4 Cd 3.14, 4 Hg 3.24
Cd: 0.5000 0.5000 0.7671  4 Al 3.03, 4 Cd 3.14, 4 Hg 3.24
Hg: 0.0000 0.0000 0.5000  4 Hg 3.14, 8 Cd 3.24

*C*
Below is an optimized crystal structure of AlCd2Hg, with properties calculated at the PBE level.

Symmetry: I-4m2

Cell lengths 5.4647, 5.4647, 5.4647 Å; angles 132.46, 132.46, 69.51 degrees
Last column: nearest neighbours and their distance in Å.
Element x y z (fractional)
Al: 0.0000 0.0000 0.0000  8 Cd 3.12-3.15, 4 Hg 3.15
Cd: 0.2500 0.7500 0.5000  4 Hg 3.12, 4 Cd 3.15, 4 Al 3.15
Cd: 0.5000 0.5000 0.0000  4 Al 3.12, 4 Cd 3.15, 4 Hg 3.15
Hg: 0.7500 0.2500 0.5000  8 Cd 3.12-3.15, 4 Al 3.15

*D*
Below is an optimized crystal structure of AlCd2Hg, with properties calculated at the PBE level.

Symmetry: Pmm2

Cell lengths 3.1143, 4.3445, 6.3920 Å; angles 90.00, 90.00, 90.00 degrees
Last column: nearest neighbours and their distance in Å.
Element x y z (fractional)
Al: 0.0000 0.0000 0.0000  4 Hg 3.07, 6 Cd 3.10-3.21, 2 Al 3.11
Cd: 0.0000 0.0000 0.4976  6 Cd 3.11-3.12, 4 Hg 3.17, 2 Al 3.18-3.21
Cd: 0.5000 0.5000 0.2458  2 Hg 3.08-3.31, 4 Al 3.10, 6 Cd 3.11-3.12
Hg: 0.5000 0.5000 0.7644  4 Al 3.07, 6 Cd 3.08-3.31, 2 Hg 3.11

Short version: *B*, *D*, *C*, *A*, most stable first.

*A*
Below is an optimized crystal structure of AlCd2Hg, with properties calculated at the PBE level.

Symmetry: Cm

Cell lengths 3.1353, 3.1353, 10.5157 Å; angles 101.40, 101.40, 59.63 degrees
Last column: nearest neighbours and their distance in Å.
Element x y z (fractional)
Al: 0.0000 0.0000 0.0000  6 Cd 3.03-3.07, 6 Al 3.12-3.14
Cd: 0.2354 0.2354 0.7609  3 Al 3.03-3.07, 6 Cd 3.12-3.14, 3 Hg 3.17-3.34
Cd: 0.7649 0.7649 0.2392  3 Al 3.03-3.07, 6 Cd 3.12-3.14, 2 Hg 3.15
Hg: 0.4900 0.4900 0.5005  6 Hg 3.12-3.14, 6 Cd 3.15-3.41

*B*
Below is an optimized crystal structure of AlCd2Hg, with properties calculated at the PBE level.

Symmetry: P2/m

Cell lengths 3.1636, 4.2557, 6.4965 Å; angles 90.00, 91.20, 90.00 degrees
Last column: nearest neighbours and their distance in Å.
Element x y z (fractional)
Al: 0.0000 0.0000 0.0000  8 Cd 3.04-3.09, 2 Al 3.16, 2 Hg 3.25
Cd: 0.4962 0.5000 0.2373  4 Al 3.04-3.09, 3 Cd 3.08-3.16, 4 Hg 3.14-3.16
Cd: 0.5038 0.5000 0.7627  4 Al 3.04-3.09, 3 Cd 3.08-3.16, 4 Hg 3.14-3.16
Hg: 0.0000 0.0000 0.5000  8 Cd 3.14-3.16, 2 Hg 3.16, 2 Al 3.25

*C*
Below is an optimized crystal structure of AlCd2Hg, with properties calculated at the PBE level.

Symmetry: P4/mmm

Cell lengths 4.9386, 4.9386, 3.7128 Å; angles 90.00, 90.00, 90.00 degrees
Last column: nearest neighbours and their distance in Å.
Element x y z (fractional)
Al: 0.0000 0.0000 0.0000  8 Cd 3.09
Cd: 0.0000 0.5000 0.5000  4 Hg 3.09, 4 Al 3.09
Cd: 0.5000 0.0000 0.5000  4 Hg 3.09, 4 Al 3.09
Hg: 0.5000 0.5000 0.0000  8 Cd 3.09

Short version: *A*, *B*, *C*, most stable first.

*A*
Below is an optimized crystal structure of AlCd2Hg, with properties calculated at the PBE level.

Symmetry: Immm

Cell lengths 7.0732, 7.0732, 7.0732 Å; angles 155.85, 139.97, 47.30 degrees
Last column: nearest neighbours and their distance in Å.
Element x y z (fractional)
Al: 0.0000 0.0000 0.0000  4 Hg 2.84, 2 Al 2.96, 4 Cd 3.01
Cd: 0.2024 0.7024 0.5000  6 Cd 2.96-3.09, 2 Al 3.01
Cd: 0.7976 0.2976 0.5000  6 Cd 2.96-3.09, 2 Al 3.01
Hg: 0.5000 0.5000 0.0000  4 Al 2.84, 2 Hg 2.96

*B*
Below is an optimized crystal structure of AlCd2Hg, with properties calculated at the PBE level.

Symmetry: Cm

Cell lengths 5.0587, 5.0587, 6.1980 Å; angles 105.42, 105.42, 35.76 degrees
Last column: nearest neighbours and their distance in Å.
Element x y z (fractional)
Al: 0.0000 0.0000 0.0000  2 Hg 2.84, 3 Cd 2.85-2.97, 2 Al 3.11
Cd: 0.5109 0.5109 0.4689  3 Hg 3.00-3.12, 5 Cd 3.02-3.23, 2 Al 3.27
Cd: 0.7521 0.7521 0.1964  3 Al 2.85-2.97, 4 Cd 3.02-3.11
Hg: 0.2727 0.2727 0.7218  2 Al 2.84, 3 Cd 3.00-3.12, 2 Hg 3.11

*C*
Below is an optimized crystal structure of AlCd2Hg, with properties calculated at the PBE level.

Symmetry: I-42d

Cell lengths 6.4797, 6.4797, 6.4797 Å; angles 101.18, 101.18, 127.76 degrees
Last column: nearest neighbours and their distance in Å.
Element x y z (fractional)
Al: 0.0000 0.0000 0.0000  2 Hg 2.85, 4 Cd 2.87
Al: 0.7500 0.2500 0.5000  2 Hg 2.85, 4 Cd 2.87
Cd: 0.1023 0.6250 0.9773  2 Al 2.87, 2 Cd 2.88, 2 Hg 3.13
Cd: 0.3750 0.3523 0.4773  2 Al 2.87, 2 Cd 2.88, 2 Hg 3.13
Cd: 0.6477 0.1250 0.0227  2 Al 2.87, 2 Cd 2.88, 2 Hg 3.13
Cd: 0.8750 0.8977 0.5227  2 Al 2.87, 2 Cd 2.88, 2 Hg 3.13
Hg: 0.2500 0.7500 0.5000  2 Al 2.85, 4 Cd 3.13
Hg: 0.5000 0.5000 0.0000  2 Al 2.85, 4 Cd 3.13

Short version: *B*, *A*, *C*, most stable first.

*A*
Below is an optimized crystal structure of AlCd2Hg, with properties calculated at the PBE level.

Symmetry: Fm-3m

Cell lengths 5.0430, 5.0430, 5.0430 Å; angles 60.00, 60.00, 60.00 degrees
Last column: nearest neighbours and their distance in Å.
Element x y z (fractional)
Al: 0.0000 0.0000 0.0000  8 Cd 3.09
Cd: 0.2500 0.2500 0.2500  4 Hg 3.09, 4 Al 3.09
Cd: 0.7500 0.7500 0.7500  4 Hg 3.09, 4 Al 3.09
Hg: 0.5000 0.5000 0.5000  8 Cd 3.09

*B*
Below is an optimized crystal structure of AlCd2Hg, with properties calculated at the PBE level.

Symmetry: P4mm

Cell lengths 3.5018, 3.5018, 7.2497 Å; angles 90.00, 90.00, 90.00 degrees
Last column: nearest neighbours and their distance in Å.
Element x y z (fractional)
Al: 0.0000 0.0000 0.0000  4 Hg 2.96, 4 Cd 3.02
Cd: 0.0000 0.0000 0.5029  8 Cd 3.13-3.50, 4 Hg 3.17
Cd: 0.5000 0.5000 0.2382  4 Al 3.02, 4 Cd 3.13, 1 Hg 3.36
Hg: 0.5000 0.5000 0.7753  4 Al 2.96, 4 Cd 3.17

Short version: *B*, *A*, most stable first.

*A*
Below is an optimized crystal structure of AlCd2Hg, with properties calculated at the PBE level.

Symmetry: Imm2

Cell lengths 5.6144, 5.6144, 5.6144 Å; angles 141.52, 123.22, 70.69 degrees
Last column: nearest neighbours and their distance in Å.
Element x y z (fractional)
Al: 0.0000 0.0000 0.0000  2 Hg 2.82, 2 Cd 2.91
Cd: 0.2446 0.7446 0.5000  2 Al 2.91, 2 Cd 3.04
Cd: 0.5080 0.5080 0.0000  2 Hg 3.02, 2 Cd 3.04, 4 Al 3.25
Hg: 0.7680 0.2680 0.5000  2 Al 2.82, 2 Cd 3.02

*B*
Below is an optimized crystal structure of AlCd2Hg, with properties calculated at the PBE level.

Symmetry: I4/mmm

Cell lengths 5.4623, 5.4623, 5.4623 Å; angles 132.51, 132.51, 69.42 degrees
Last column: nearest neighbours and their distance in Å.
Element x y z (fractional)
Al: 0.0000 0.0000 0.0000  4 Hg 3.11, 8 Cd 3.14
Cd: 0.2500 0.7500 0.5000  4 Cd 3.11, 4 Hg 3.14, 4 Al 3.14
Cd: 0.7500 0.2500 0.5000  4 Cd 3.11, 4 Hg 3.14, 4 Al 3.14
Hg: 0.5000 0.5000 0.0000  4 Al 3.11, 8 Cd 3.14

*C*
Below is an optimized crystal structure of AlCd2Hg, with properties calculated at the PBE level.

Symmetry: Pm

Cell lengths 3.0370, 4.0363, 7.3731 Å; angles 90.00, 96.71, 90.00 degrees
Last column: nearest neighbours and their distance in Å.
Element x y z (fractional)
Al: 0.0000 0.0000 0.0000  2 Hg 2.82, 4 Cd 2.99-3.00, 2 Al 3.04
Cd: 0.1453 0.0000 0.4811  6 Cd 3.04-3.18, 4 Hg 3.14-3.19
Cd: 0.5594 0.5000 0.2206  4 Al 2.99-3.00, 6 Cd 3.04-3.18
Hg: 0.7363 0.5000 0.7422  2 Al 2.82, 2 Hg 3.04, 2 Cd 3.14

Short version: *C*, *B*, *A*, most stable first.